# 1
## BeW4Se (PBEsol)

Data for BeW4Se after structural relaxation.

Cell lengths 5.237, 5.237, 5.237 Å; angles 60.00, 60.00, 60.00 degrees
Element x y z (fractional)
Be 0.000 0.000 0.000
W 0.374 0.374 0.374
W 0.374 0.374 0.877
W 0.374 0.877 0.374
W 0.877 0.374 0.374
Se 0.750 0.750 0.750

Output
Energy relative to the elements, uncorrected in eV/f.u.: 6.1
V in Å³ per cell: 102
Calculated total energy in eV per atom: -9.4917
Total magnetic moment in μB per atom: 0.000


# 2
## TlH2Ir (PBEsol)

Data for TlH2Ir after structural relaxation.

Cell lengths 4.976, 4.976, 4.976 Å; angles 107.15, 107.15, 114.23 degrees
Element x y z (fractional)
Tl 0.000 0.000 0.000
Tl 0.750 0.250 0.500
H 0.264 0.125 0.639
H 0.375 0.736 0.861
H 0.486 0.625 0.361
H 0.875 0.514 0.139
Ir 0.250 0.750 0.500
Ir 0.500 0.500 0.000

Output
V in Å³ per cell: 94
Calculated total energy in eV per atom: -4.5527
Total magnetic moment in μB per atom: 0.000


# 3
## KRe3Pd (PBEsol)

Data for KRe3Pd after structural relaxation.

Cell lengths 4.771, 4.771, 4.771 Å; angles 90.00, 90.00, 90.00 degrees
Element x y z (fractional)
K 0.000 0.000 0.000
Re 0.000 0.500 0.500
Re 0.500 0.000 0.500
Re 0.500 0.500 0.000
Pd 0.500 0.500 0.500

Output
V in Å³ per cell: 109
Formation energy from the elements in eV/atom: 2.791
Calculated total energy in eV per atom: -6.6268
Total magnetic moment in μB per atom: 0.001


# 4
## CaMg2Cu4 (PBEsol)

Data for CaMg2Cu4 after structural relaxation.

Cell lengths 6.737, 6.737, 6.737 Å; angles 110.71, 110.71, 107.02 degrees
Element x y z (fractional)
Ca 0.250 0.250 0.000
Ca 0.750 0.750 0.000
Mg 0.157 0.657 0.814
Mg 0.343 0.157 0.500
Mg 0.657 0.843 0.500
Mg 0.843 0.343 0.186
Cu 0.029 0.809 0.500
Cu 0.191 0.691 0.220
Cu 0.309 0.529 0.500
Cu 0.471 0.971 0.780
Cu 0.529 0.029 0.220
Cu 0.691 0.471 0.500
Cu 0.809 0.309 0.780
Cu 0.971 0.191 0.500

Output
V in Å³ per cell: 235
Excess energy over the best structure of this formula in the dataset in eV/atom: 0.000
Formation energy from the elements in eV/atom: -0.071
Calculated total energy in eV per atom: -3.3430
Total magnetic moment in μB per atom: 0.000


# 5
## Li2Si3NiO8 (PBEsol)

Data for Li2Si3NiO8 after structural relaxation.

Cell lengths 7.864, 7.864, 7.864 Å; angles 90.00, 90.00, 90.00 degrees
Element x y z (fractional)
Li 0.008 0.008 0.008
Li 0.242 0.242 0.242
Li 0.258 0.758 0.742
Li 0.492 0.992 0.508
Li 0.508 0.492 0.992
Li 0.742 0.258 0.758
Li 0.758 0.742 0.258
Li 0.992 0.508 0.492
Si 0.116 0.134 0.625
Si 0.125 0.384 0.866
Si 0.134 0.625 0.116
Si 0.366 0.375 0.616
Si 0.375 0.616 0.366
Si 0.384 0.866 0.125
Si 0.616 0.366 0.375
Si 0.625 0.116 0.134
Si 0.634 0.875 0.884
Si 0.866 0.125 0.384
Si 0.875 0.884 0.634
Si 0.884 0.634 0.875
Ni 0.125 0.875 0.375
Ni 0.375 0.125 0.875
Ni 0.625 0.625 0.625
Ni 0.875 0.375 0.125
O 0.089 0.133 0.398
O 0.102 0.911 0.633
O 0.117 0.161 0.852
O 0.119 0.619 0.881
O 0.131 0.369 0.631
O 0.133 0.398 0.089
O 0.148 0.617 0.339
O 0.161 0.852 0.117
O 0.339 0.148 0.617
O 0.352 0.383 0.839
O 0.367 0.602 0.589
O 0.369 0.631 0.131
O 0.381 0.381 0.381
O 0.383 0.839 0.352
O 0.398 0.089 0.133
O 0.411 0.867 0.898
O 0.589 0.367 0.602
O 0.602 0.589 0.367
O 0.617 0.339 0.148
O 0.619 0.881 0.119
O 0.631 0.131 0.369
O 0.633 0.102 0.911
O 0.648 0.883 0.661
O 0.661 0.648 0.883
O 0.839 0.352 0.383
O 0.852 0.117 0.161
O 0.867 0.898 0.411
O 0.869 0.869 0.869
O 0.881 0.119 0.619
O 0.883 0.661 0.648
O 0.898 0.411 0.867
O 0.911 0.633 0.102

Output
Energy relative to the elements, uncorrected in eV/f.u.: -33.1
V in Å³ per cell: 486
Excess energy over the best structure of this formula in the dataset in eV/atom: 0.000
Calculated total energy in eV per atom: -7.3192
Total magnetic moment in μB per atom: 0.133


# 6
## GdCuW2O8 (PBEsol)

Data for GdCuW2O8 after structural relaxation.

Cell lengths 4.994, 6.015, 6.082 Å; angles 109.26, 92.01, 112.95 degrees
Element x y z (fractional)
Gd 0.000 0.000 0.000
Cu 0.500 0.000 0.500
W 0.245 0.480 0.668
W 0.755 0.520 0.332
O 0.004 0.250 0.780
O 0.030 0.692 0.667
O 0.463 0.296 0.523
O 0.494 0.269 0.072
O 0.506 0.731 0.928
O 0.537 0.704 0.477
O 0.970 0.308 0.333
O 0.996 0.750 0.220

Output
Energy relative to the elements, uncorrected in eV/f.u.: -26.7
V in Å³ per cell: 156
Calculated total energy in eV per atom: -9.5875
Total magnetic moment in μB per atom: 0.583


# 7
## RuPbSe (PBEsol)

Data for RuPbSe after structural relaxation.

Cell lengths 6.807, 6.807, 6.807 Å; angles 153.80, 153.80, 37.40 degrees
Element x y z (fractional)
Ru 0.000 0.000 0.000
Pb 0.672 0.672 0.000
Se 0.406 0.406 0.000

Output
Energy relative to the elements, uncorrected in eV/f.u.: 0.1
V in Å³ per cell: 61
Calculated total energy in eV per atom: -5.9623
Total magnetic moment in μB per atom: 0.081


# 8
## KBaSbIr2 (PBEsol)

Data for KBaSbIr2 after structural relaxation.

Cell lengths 5.002, 5.002, 5.648 Å; angles 90.00, 90.00, 90.00 degrees
Element x y z (fractional)
K 0.000 0.000 0.000
Ba 0.500 0.500 0.000
Sb 0.000 0.000 0.500
Ir 0.000 0.500 0.500
Ir 0.500 0.000 0.500

Output
Energy relative to the elements, uncorrected in eV/f.u.: 3.2
V in Å³ per cell: 141
Calculated total energy in eV per atom: -4.8614
Total magnetic moment in μB per atom: 0.153


- Among the records above, which one has the lowest V?
  RuPbSe